TcSn2 | Alexandria | PBE-GGA | relaxed; excess energy over the best structure of this formula in the dataset = 0.000 eV/atom; energy relative to the elements = -3 kJ/mol of formula units; spin magnetization = 0.00 μB/f.u.
1.0
-3.5913 -4.0738 0.7203
-0.3962 -4.0086 -3.8144
4.6781 -6.9498 4.8508
Tc Sn
4 8
direct
0.1230 0.5000 0.7539
0.3770 0.5000 0.2461
0.6270 0.0000 0.7461
0.3730 0.0000 0.2539
0.4135 0.1731 0.5000
0.0865 0.8269 0.5000
0.3365 0.3269 0.0000
0.6635 0.6731 0.0000
0.0794 0.0000 0.8411
0.9206 0.0000 0.1589
0.6706 0.5000 0.6589
0.8294 0.5000 0.3411

=====

YThIr | Alexandria | PBE-GGA | relaxed; excess energy over the best structure of this formula in the dataset = 0.104 eV/atom; energy relative to the elements = -159 kJ/mol of formula units; spin magnetization = 0.00 μB/f.u.
1.0
6.2483 0.0000 0.0000
0.0000 4.1028 0.0000
0.0000 -2.0514 3.5532
Y Ir Th
1 1 1
direct
0.5788 0.6667 0.3333
0.3289 0.3333 0.6667
0.0923 0.0000 0.0000

=====

Q: Look up the energy relative to the elements of the second one.
A: -159 kJ/mol of formula units

=====

What did the first record say?
TcSn2 | Alexandria | PBE-GGA | relaxed; excess energy over the best structure of this formula in the dataset = 0.000 eV/atom; energy relative to the elements = -3 kJ/mol of formula units; spin magnetization = 0.00 μB/f.u.
1.0
-3.5913 -4.0738 0.7203
-0.3962 -4.0086 -3.8144
4.6781 -6.9498 4.8508
Tc Sn
4 8
direct
0.1230 0.5000 0.7539
0.3770 0.5000 0.2461
0.6270 0.0000 0.7461
0.3730 0.0000 0.2539
0.4135 0.1731 0.5000
0.0865 0.8269 0.5000
0.3365 0.3269 0.0000
0.6635 0.6731 0.0000
0.0794 0.0000 0.8411
0.9206 0.0000 0.1589
0.6706 0.5000 0.6589
0.8294 0.5000 0.3411